# LaDy8Y4

A geometry-optimized LaDy8Y4 structure (PBE-GGA, the Alexandria database).

Values from the calculation:
**Magnetization**: 0.00 μB per atom
**Density of states at the Fermi level**: 1.36 states/eV/atom
**Symmetry**: R-3m
**Total energy**: -65.27 eV/cell
**Calculated formation energy**: 0.179 eV/atom

Unit cell a=9.964 b=9.964 c=9.964 alpha=43.20 beta=43.20 gamma=43.20
Sites, in units of the cell vectors:
La (0.000, 0.000, 0.000)
Dy (0.250, 0.250, 0.694)
Dy (0.250, 0.694, 0.250)
Dy (0.281, 0.281, 0.281)
Dy (0.306, 0.750, 0.750)
Dy (0.694, 0.250, 0.250)
Dy (0.719, 0.719, 0.719)
Dy (0.750, 0.306, 0.750)
Dy (0.750, 0.750, 0.306)
Y (0.000, 0.000, 0.500)
Y (0.000, 0.500, 0.000)
Y (0.500, 0.000, 0.000)
Y (0.500, 0.500, 0.500)


# Ge3P2H2

A geometry-optimized Ge3P2H2 structure (PBE-GGA, the Alexandria database).

Values from the calculation:
**Magnetization**: 0.00 μB per atom
**Density of states at the Fermi level**: 0.28 states/eV/atom
**Symmetry**: C2/m
**Total energy**: -29.07 eV/cell

Unit cell a=5.094 b=5.094 c=6.278 alpha=91.88 beta=91.88 gamma=43.45
Sites, in units of the cell vectors:
Ge (0.000, 0.000, 0.000)
Ge (0.262, 0.262, 0.256)
Ge (0.738, 0.738, 0.744)
P (0.103, 0.103, 0.606)
P (0.897, 0.897, 0.394)
H (0.372, 0.372, 0.027)
H (0.628, 0.628, 0.973)


# Tb2NdZr

A geometry-optimized Tb2NdZr structure (PBE-GGA, the Alexandria database).

Values from the calculation:
**Magnetization**: 0.00 μB per atom
**Density of states at the Fermi level**: 1.28 states/eV/atom
**Symmetry**: R-3m
**Total energy**: -21.30 eV/cell
**Calculated formation energy**: 0.320 eV/atom

Unit cell a=12.270 b=12.270 c=12.270 alpha=15.90 beta=15.90 gamma=15.90
Sites, in units of the cell vectors:
Tb (0.085, 0.085, 0.085)
Tb (0.915, 0.915, 0.915)
Nd (0.500, 0.500, 0.500)
Zr (0.000, 0.000, 0.000)


# Ho12Zn6Pb

A geometry-optimized Ho12Zn6Pb structure (PBE-GGA, the Alexandria database).

Values from the calculation:
**Magnetization**: 0.00 μB per atom
**Density of states at the Fermi level**: 0.75 states/eV/atom
**Symmetry**: Im-3
**Total energy**: -70.32 eV/cell
**Calculated formation energy**: -0.212 eV/atom

Unit cell a=8.645 b=8.645 c=8.645 alpha=109.47 beta=109.47 gamma=109.47
Sites, in units of the cell vectors:
Ho (0.099, 0.807, 0.292)
Ho (0.193, 0.292, 0.484)
Ho (0.193, 0.708, 0.901)
Ho (0.292, 0.099, 0.807)
Ho (0.292, 0.484, 0.193)
Ho (0.484, 0.193, 0.292)
Ho (0.516, 0.807, 0.708)
Ho (0.708, 0.516, 0.807)
Ho (0.708, 0.901, 0.193)
Ho (0.807, 0.292, 0.099)
Ho (0.807, 0.708, 0.516)
Ho (0.901, 0.193, 0.708)
Zn (0.123, 0.623, 0.500)
Zn (0.377, 0.500, 0.877)
Zn (0.500, 0.123, 0.623)
Zn (0.500, 0.877, 0.377)
Zn (0.623, 0.500, 0.123)
Zn (0.877, 0.377, 0.500)
Pb (0.000, 0.000, 0.000)


# GaPPt5

A geometry-optimized GaPPt5 structure (PBE-GGA, the Alexandria database).

Values from the calculation:
**Magnetization**: 0.00 μB per atom
**Density of states at the Fermi level**: 0.16 states/eV/atom
**Symmetry**: P4/mmm
**Total energy**: -41.92 eV/cell
**Calculated formation energy**: -0.468 eV/atom

Unit cell a=3.949 b=3.949 c=6.943 alpha=90.00 beta=90.00 gamma=90.00
Sites, in units of the cell vectors:
Ga (0.000, 0.000, 0.000)
P (0.500, 0.500, 0.500)
Pt (0.000, 0.500, 0.291)
Pt (0.000, 0.500, 0.709)
Pt (0.500, 0.000, 0.291)
Pt (0.500, 0.000, 0.709)
Pt (0.500, 0.500, 0.000)


# Dy2Y3Tm

A geometry-optimized Dy2Y3Tm structure (PBE-GGA, the Alexandria database).

Values from the calculation:
**Magnetization**: 0.00 μB per atom
**Density of states at the Fermi level**: 1.49 states/eV/atom
**Symmetry**: C2/c
**Total energy**: -65.83 eV/cell
**Calculated formation energy**: 0.025 eV/atom

Unit cell a=9.391 b=9.391 c=6.140 alpha=90.03 beta=90.03 gamma=44.40
Sites, in units of the cell vectors:
Dy (0.041, 0.291, 0.417)
Dy (0.291, 0.041, 0.917)
Dy (0.709, 0.959, 0.083)
Dy (0.959, 0.709, 0.583)
Y (0.125, 0.875, 0.250)
Y (0.209, 0.459, 0.083)
Y (0.459, 0.209, 0.583)
Y (0.541, 0.791, 0.417)
Y (0.791, 0.541, 0.917)
Y (0.875, 0.125, 0.750)
Tm (0.375, 0.625, 0.750)
Tm (0.625, 0.375, 0.250)